# 1
# CaTeOs2, relaxed, DFT PBE-GGA
data_CaTeOs2
_chemical_formula_sum 'Ca1 Te1 Os2'
_cell_length_a 5.276
_cell_length_b 5.276
_cell_length_c 5.276
_cell_angle_alpha 134.93
_cell_angle_beta 134.93
_cell_angle_gamma 65.64
_space_group_name_H-M_alt 'P 1'
_space_group_IT_number 1
_space_group_name_Hall 'P 1'
loop_
_atom_site_label
_atom_site_type_symbol
_atom_site_fract_x
_atom_site_fract_y
_atom_site_fract_z
Os1 Os 0.000 0.000 0.000
Os2 Os 0.250 0.750 0.500
Ca1 Ca 0.750 0.250 0.500
Te1 Te 0.500 0.500 0.000
# Calculated volume ... 18.128 Å³ per atom
# N(E_F) ... 1.119 states/eV per atom
# ΔE_f (raw) ... 682 meV per atom

***

# 2
# CaTeOs, relaxed, DFT PBE-GGA
data_CaTeOs
_chemical_formula_sum 'Ca1 Te1 Os1'
_cell_length_a 4.629
_cell_length_b 4.629
_cell_length_c 4.629
_cell_angle_alpha 60.00
_cell_angle_beta 60.00
_cell_angle_gamma 60.00
_space_group_name_H-M_alt 'P 1'
_space_group_IT_number 1
_space_group_name_Hall 'P 1'
loop_
_atom_site_label
_atom_site_type_symbol
_atom_site_fract_x
_atom_site_fract_y
_atom_site_fract_z
Te1 Te 0.000 0.000 0.000
Os1 Os 0.250 0.250 0.250
Ca1 Ca 0.500 0.500 0.500
# Calculated volume ... 23.380 Å³ per atom
# N(E_F) ... 1.045 states/eV per atom
# Offset from the most stable computed form ... 203 meV per atom
# ΔE_f (raw) ... 173 meV per atom

***

# 3
# CaTeOs2, relaxed, DFT PBE-GGA
data_CaTeOs2
_chemical_formula_sum 'Ca1 Te1 Os2'
_cell_length_a 2.980
_cell_length_b 2.980
_cell_length_c 9.506
_cell_angle_alpha 90.00
_cell_angle_beta 90.00
_cell_angle_gamma 116.21
_space_group_name_H-M_alt 'P 1'
_space_group_IT_number 1
_space_group_name_Hall 'P 1'
loop_
_atom_site_label
_atom_site_type_symbol
_atom_site_fract_x
_atom_site_fract_y
_atom_site_fract_z
Os1 Os 0.000 0.000 0.495
Os2 Os 0.000 0.000 0.005
Te1 Te 0.500 0.500 0.250
Ca1 Ca 0.500 0.500 0.750
# Calculated volume ... 18.939 Å³ per atom
# N(E_F) ... 1.125 states/eV per atom
# ΔE_f (raw) ... 1046 meV per atom

***

# 4
# CaTeOs3, relaxed, DFT PBE-GGA
data_CaTeOs3
_chemical_formula_sum 'Ca1 Te1 Os3'
_cell_length_a 4.860
_cell_length_b 4.860
_cell_length_c 4.860
_cell_angle_alpha 90.00
_cell_angle_beta 90.00
_cell_angle_gamma 90.00
_space_group_name_H-M_alt 'P 1'
_space_group_IT_number 1
_space_group_name_Hall 'P 1'
loop_
_atom_site_label
_atom_site_type_symbol
_atom_site_fract_x
_atom_site_fract_y
_atom_site_fract_z
Os1 Os 0.000 0.500 0.000
Os2 Os 0.500 0.000 0.000
Os3 Os 0.000 0.000 0.500
Te1 Te 0.000 0.000 0.000
Ca1 Ca 0.500 0.500 0.500
# Calculated volume ... 22.963 Å³ per atom
# N(E_F) ... 1.527 states/eV per atom
# Offset from the most stable computed form ... 0 meV per atom
# ΔE_f (raw) ... 1684 meV per atom

***

# 5
# Ca2TeOs, relaxed, DFT PBE-GGA
data_Ca2TeOs
_chemical_formula_sum 'Ca2 Te1 Os1'
_cell_length_a 8.993
_cell_length_b 8.993
_cell_length_c 8.993
_cell_angle_alpha 23.62
_cell_angle_beta 23.62
_cell_angle_gamma 23.62
_space_group_name_H-M_alt 'P 1'
_space_group_IT_number 1
_space_group_name_Hall 'P 1'
loop_
_atom_site_label
_atom_site_type_symbol
_atom_site_fract_x
_atom_site_fract_y
_atom_site_fract_z
Os1 Os 0.250 0.250 0.250
Te1 Te 0.750 0.750 0.750
Ca1 Ca 0.507 0.507 0.507
Ca2 Ca 0.993 0.993 0.993
# Calculated volume ... 25.626 Å³ per atom
# N(E_F) ... 0.625 states/eV per atom
# ΔE_f (raw) ... 82 meV per atom

***

# 6
# Ca2TeOs, relaxed, DFT PBE-GGA
data_Ca2TeOs
_chemical_formula_sum 'Ca2 Te1 Os1'
_cell_length_a 7.907
_cell_length_b 4.830
_cell_length_c 3.994
_cell_angle_alpha 90.05
_cell_angle_beta 59.59
_cell_angle_gamma 127.54
_space_group_name_H-M_alt 'P 1'
_space_group_IT_number 1
_space_group_name_Hall 'P 1'
loop_
_atom_site_label
_atom_site_type_symbol
_atom_site_fract_x
_atom_site_fract_y
_atom_site_fract_z
Te1 Te 0.500 0.500 0.000
Ca1 Ca 0.000 0.000 0.000
Ca2 Ca 0.500 0.000 0.500
Os1 Os 0.000 0.500 0.500
# Calculated volume ... 23.290 Å³ per atom
# N(E_F) ... 0.621 states/eV per atom
# ΔE_f (raw) ... -60 meV per atom

***

# 7
# CaThOs4, relaxed, DFT PBE-GGA
data_CaThOs4
_chemical_formula_sum 'Ca1 Th1 Os4'
_cell_length_a 5.418
_cell_length_b 5.418
_cell_length_c 5.418
_cell_angle_alpha 60.00
_cell_angle_beta 60.00
_cell_angle_gamma 60.00
_space_group_name_H-M_alt 'P 1'
_space_group_IT_number 1
_space_group_name_Hall 'P 1'
loop_
_atom_site_label
_atom_site_type_symbol
_atom_site_fract_x
_atom_site_fract_y
_atom_site_fract_z
Os1 Os 0.625 0.625 0.625
Os2 Os 0.126 0.625 0.625
Os3 Os 0.625 0.625 0.126
Os4 Os 0.625 0.126 0.625
Th1 Th 0.000 0.000 0.000
Ca1 Ca 0.250 0.250 0.250
# Calculated volume ... 18.740 Å³ per atom
# N(E_F) ... 1.112 states/eV per atom
# Formation enthalpy at 0 K ... -0.07 eV per atom

***

# 8
# CaThOs, relaxed, DFT PBE-GGA
data_CaThOs
_chemical_formula_sum 'Ca2 Th2 Os2'
_cell_length_a 4.812
_cell_length_b 4.818
_cell_length_c 8.720
_cell_angle_alpha 74.02
_cell_angle_beta 90.00
_cell_angle_gamma 119.96
_space_group_name_H-M_alt 'P 1'
_space_group_IT_number 1
_space_group_name_Hall 'P 1'
loop_
_atom_site_label
_atom_site_type_symbol
_atom_site_fract_x
_atom_site_fract_y
_atom_site_fract_z
Ca1 Ca 0.371 0.742 0.388
Ca2 Ca 0.629 0.258 0.612
Os1 Os 0.763 0.526 0.211
Os2 Os 0.237 0.474 0.789
Th1 Th 0.120 0.240 0.139
Th2 Th 0.880 0.760 0.861
# Calculated volume ... 27.679 Å³ per atom
# N(E_F) ... 0.281 states/eV per atom
# Formation enthalpy at 0 K ... -0.12 eV per atom

***

# 9
# CaTi3Os, relaxed, DFT PBE-GGA
data_CaTi3Os
_chemical_formula_sum 'Ca1 Ti3 Os1'
_cell_length_a 4.851
_cell_length_b 4.851
_cell_length_c 4.851
_cell_angle_alpha 90.00
_cell_angle_beta 90.00
_cell_angle_gamma 90.00
_space_group_name_H-M_alt 'P 1'
_space_group_IT_number 1
_space_group_name_Hall 'P 1'
loop_
_atom_site_label
_atom_site_type_symbol
_atom_site_fract_x
_atom_site_fract_y
_atom_site_fract_z
Ti1 Ti 0.000 0.000 0.500
Ti2 Ti 0.000 0.500 0.000
Ti3 Ti 0.500 0.000 0.000
Os1 Os 0.000 0.000 0.000
Ca1 Ca 0.500 0.500 0.500
# Calculated volume ... 22.836 Å³ per atom
# N(E_F) ... 1.879 states/eV per atom
# Offset from the most stable computed form ... 0 meV per atom
# Formation enthalpy at 0 K ... 0.27 eV per atom

***

# 10
# Ca2TiOs, relaxed, DFT PBE-GGA
data_Ca2TiOs
_chemical_formula_sum 'Ca4 Ti2 Os2'
_cell_length_a 10.772
_cell_length_b 10.772
_cell_length_c 7.958
_cell_angle_alpha 47.41
_cell_angle_beta 47.41
_cell_angle_gamma 90.00
_space_group_name_H-M_alt 'P 1'
_space_group_IT_number 1
_space_group_name_Hall 'P 1'
loop_
_atom_site_label
_atom_site_type_symbol
_atom_site_fract_x
_atom_site_fract_y
_atom_site_fract_z
Os1 Os 0.750 0.250 0.500
Os2 Os 0.000 0.000 0.000
Ti1 Ti 0.250 0.750 0.500
Ti2 Ti 0.500 0.500 0.000
Ca1 Ca 0.784 0.125 0.250
Ca2 Ca 0.966 0.625 0.250
Ca3 Ca 0.375 0.216 0.750
Ca4 Ca 0.875 0.034 0.750
# Calculated volume ... 33.442 Å³ per atom
# N(E_F) ... 1.084 states/eV per atom
# Offset from the most stable computed form ... 0 meV per atom
# Formation enthalpy at 0 K ... 0.54 eV per atom

***

# 11
# CaTi3Os, relaxed, DFT PBE-GGA
data_CaTi3Os
_chemical_formula_sum 'Ca1 Ti3 Os1'
_cell_length_a 4.418
_cell_length_b 4.418
_cell_length_c 4.418
_cell_angle_alpha 90.00
_cell_angle_beta 90.00
_cell_angle_gamma 90.00
_space_group_name_H-M_alt 'P 1'
_space_group_IT_number 1
_space_group_name_Hall 'P 1'
loop_
_atom_site_label
_atom_site_type_symbol
_atom_site_fract_x
_atom_site_fract_y
_atom_site_fract_z
Ti1 Ti 0.000 0.500 0.000
Ti2 Ti 0.500 0.000 0.000
Ti3 Ti 0.000 0.000 0.500
Ca1 Ca 0.000 0.000 0.000
Os1 Os 0.500 0.500 0.500
# Calculated volume ... 17.249 Å³ per atom
# N(E_F) ... 1.663 states/eV per atom
# Offset from the most stable computed form ... 1625 meV per atom
# Formation enthalpy at 0 K ... 1.90 eV per atom

***

# 12
# Ca2TiOs, relaxed, DFT PBE-GGA
data_Ca2TiOs
_chemical_formula_sum 'Ca2 Ti1 Os1'
_cell_length_a 4.980
_cell_length_b 4.980
_cell_length_c 4.980
_cell_angle_alpha 60.00
_cell_angle_beta 60.00
_cell_angle_gamma 60.00
_space_group_name_H-M_alt 'P 1'
_space_group_IT_number 1
_space_group_name_Hall 'P 1'
loop_
_atom_site_label
_atom_site_type_symbol
_atom_site_fract_x
_atom_site_fract_y
_atom_site_fract_z
Ca1 Ca 0.250 0.250 0.250
Ca2 Ca 0.750 0.750 0.750
Ti1 Ti 0.000 0.000 0.000
Os1 Os 0.500 0.500 0.500
# Calculated volume ... 21.833 Å³ per atom
# N(E_F) ... 2.374 states/eV per atom
# Offset from the most stable computed form ... 256 meV per atom
# Formation enthalpy at 0 K ... 0.80 eV per atom